VASP calculation (PBE-GGA) on a geometry-optimized Cs3Zn2Au4 structure.

Cell lengths 7.105, 7.105, 9.508 Å; angles 105.82, 105.82, 40.31 degrees
Element x y z (fractional)
1 Cs 0.000 0.000 0.000
2 Cs 0.394 0.394 0.316
3 Cs 0.606 0.606 0.684
4 Zn 0.314 0.314 0.670
5 Zn 0.686 0.686 0.330
6 Au 0.153 0.153 0.401
7 Au 0.270 0.270 0.925
8 Au 0.730 0.730 0.075
9 Au 0.847 0.847 0.599

Results
Space group: C2/m (12)
Formation enthalpy at 0 K in eV/atom: -0.2384
Energy in eV per cell: -20.36
Size of the total moment in Bohr magnetons per cell: 0.000

---

VASP calculation (PBE-GGA) on a geometry-optimized Cs2ZnAu4 structure.

Cell lengths 9.780, 9.780, 9.780 Å; angles 149.39, 149.39, 43.83 degrees
Element x y z (fractional)
1 Cs 0.149 0.149 0.000
2 Cs 0.851 0.851 0.000
3 Zn 0.500 0.500 0.000
4 Au 0.000 0.500 0.500
5 Au 0.359 0.359 0.000
6 Au 0.500 0.000 0.500
7 Au 0.641 0.641 0.000

Results
Space group: I4/mmm (139)
Formation enthalpy at 0 K in eV/atom: -0.0923
Energy in eV per cell: -16.74
Size of the total moment in Bohr magnetons per cell: 0.000

---

VASP calculation (PBE-GGA) on a geometry-optimized Cs4Zr2Au structure.

Cell lengths 10.345, 10.345, 10.345 Å; angles 138.09, 138.09, 60.76 degrees
Element x y z (fractional)
1 Cs 0.000 0.500 0.500
2 Cs 0.196 0.196 0.000
3 Cs 0.500 0.000 0.500
4 Cs 0.804 0.804 0.000
5 Zr 0.434 0.434 0.000
6 Zr 0.566 0.566 0.000
7 Au 0.000 0.000 0.000

Results
Space group: I4/mmm (139)
Formation enthalpy at 0 K in eV/atom: 0.8625
Energy in eV per cell: -17.75
Size of the total moment in Bohr magnetons per cell: 0.000

---

VASP calculation (PBE-GGA) on a geometry-optimized CsZr2Au structure.

Cell lengths 11.461, 11.461, 11.461 Å; angles 155.98, 155.98, 34.22 degrees
Element x y z (fractional)
1 Cs 0.000 0.000 0.000
2 Cs 0.750 0.250 0.500
3 Zr 0.248 0.625 0.123
4 Zr 0.375 0.498 0.623
5 Zr 0.502 0.125 0.877
6 Zr 0.875 0.752 0.377
7 Au 0.250 0.750 0.500
8 Au 0.500 0.500 0.000

Results
Space group: I-42d (122)
Formation enthalpy at 0 K in eV/atom: 0.8275
Energy in eV per cell: -35.83
Size of the total moment in Bohr magnetons per cell: 0.001